Record 1
Compound: KCaMn2
Source: the Alexandria database
Functional: PBE-GGA
Structure: relaxed

Geometry as POSCAR:
```
KCaMn2
1.0
-2.029 -2.246 4.291
-2.954 -3.114 -3.026
5.515 -10.152 0.506
Ca Mn K
2 4 2
Cartesian
0.000 0.000 0.000
0.498 -7.539 2.715
-0.758 -4.885 3.488
-2.250 -6.457 2.005
2.996 -8.856 1.599
2.003 -9.957 3.767
-2.491 -2.680 0.633
0.035 -7.973 -0.944
```

Properties
SG: I-42d (122)
E_tot (eV per atom): -4.257
ΔE_f (eV/f.u.): 4.4


Record 2
Compound: IrI2BrN
Source: the Alexandria database
Functional: PBE-GGA
Structure: relaxed

Geometry as POSCAR:
```
IrI2BrN
1.0
-5.699 -0.017 -0.743
-0.126 -5.641 1.094
-0.472 0.710 3.605
I Ir Br N
2 1 1 1
Cartesian
-0.063 -2.820 0.547
-2.850 -0.008 -0.371
0.000 0.000 0.000
-3.149 -2.474 1.978
-0.236 0.355 1.803
```

Properties
Formation energy without anion corrections (meV per atom): 490
SG: P4/mmm (123)
E_tot (eV per atom): -3.902


Record 3
Compound: Ca3Tb2NpP6
Source: the Alexandria database
Functional: PBE-GGA
Structure: relaxed

Geometry as POSCAR:
```
Ca3Tb2NpP6
1.0
7.007 0.000 -0.001
-3.501 6.069 -0.001
-1.170 -2.025 6.663
Ca Tb Np P
3 2 1 6
Cartesian
-2.302 4.026 3.331
4.637 0.018 3.331
1.168 2.022 3.331
0.006 4.044 -0.001
3.499 2.026 -0.001
0.000 0.000 0.000
3.445 2.127 5.131
2.404 4.162 1.513
-1.110 1.918 1.531
0.120 4.047 5.131
-0.068 -0.118 5.149
2.215 -0.003 1.531
```

Properties
SG: C2/m (12)
E_tot (eV per atom): -6.258
ΔE_f (eV/f.u.): -14.4


Record 4
Compound: Cu2MoAu
Source: the Alexandria database
Functional: PBE-GGA
Structure: relaxed

Geometry as POSCAR:
```
Cu2MoAu
1.0
2.681 0.000 0.000
0.000 3.732 0.000
0.000 0.000 5.832
Au Cu Mo
1 2 1
Cartesian
1.340 1.866 4.374
0.000 0.000 0.078
0.000 0.000 2.838
1.340 1.866 1.458
```

Properties
SG: Pmmm (47)
E_tot (eV per atom): -5.352
ΔE_f (eV/f.u.): 0.9


Record 5
Compound: K3TaTc
Source: the Alexandria database
Functional: PBE-GGA
Structure: relaxed

Geometry as POSCAR:
```
K3TaTc
1.0
-3.213 0.036 4.798
-3.411 -4.079 -2.254
3.375 -4.088 2.291
K Tc Ta
3 1 1
Cartesian
-1.705 -2.039 -1.127
1.687 -2.044 1.145
-1.607 0.018 2.399
0.000 0.000 0.000
-1.625 -4.065 2.417
```

Properties
SG: Pm-3m (221)
E_tot (eV per atom): -2.410
ΔE_f (eV/f.u.): 13.5


Record 6
Compound: TiBe2Ni3
Source: the Alexandria database
Functional: PBE-GGA
Structure: relaxed

Geometry as POSCAR:
```
TiBe2Ni3
1.0
2.611 0.000 0.000
0.000 2.611 0.000
0.000 0.000 9.091
Ti Be Ni
1 2 3
Cartesian
1.305 1.305 4.545
1.305 1.305 7.756
1.305 1.305 1.335
0.000 0.000 0.000
0.000 0.000 6.447
0.000 0.000 2.644
```

Properties
SG: P4/mmm (123)
E_tot (eV per atom): -5.877
ΔE_f (eV/f.u.): -2.6


Record 7
Compound: TmTiGa2Ni5
Source: the Alexandria database
Functional: PBE-GGA
Structure: relaxed

Geometry as POSCAR:
```
TmTiGa2Ni5
1.0
-2.812 2.449 0.507
-1.566 -1.130 -3.229
-4.698 -6.324 4.492
Tm Ti Ga Ni
1 1 2 5
Cartesian
-2.349 -3.162 2.246
0.000 0.000 0.000
-2.806 -0.171 -0.772
-6.271 -4.835 2.541
-2.113 -2.356 -0.343
-2.736 -0.566 1.525
-4.151 -5.099 1.606
-4.774 -3.309 3.474
-4.538 -2.503 0.885
```

Properties
SG: P4/mmm (123)
E_tot (eV per atom): -5.507
ΔE_f (eV/f.u.): -2.2


Record 8
Compound: SeIBr3
Source: the Alexandria database
Functional: PBE-GGA
Structure: relaxed

Geometry as POSCAR:
```
SeIBr3
1.0
-0.568 5.740 -0.158
-2.549 -0.394 -5.162
-5.146 -0.439 2.575
I Se Br
1 1 3
Cartesian
0.000 0.000 0.000
-4.132 2.454 -1.372
-1.275 -0.197 -2.581
-2.573 -0.219 1.287
-0.284 2.870 -0.079
```

Properties
Formation energy without anion corrections (meV per atom): 518
SG: Pm-3m (221)
E_tot (eV per atom): -1.492


Question: What is the formula in the eighth record?
Answer: SeIBr3


Question: Which formula does entry 6 have?
Answer: TiBe2Ni3


What did the third record say?
Compound: Ca3Tb2NpP6
Source: the Alexandria database
Functional: PBE-GGA
Structure: relaxed

Geometry as POSCAR:
```
Ca3Tb2NpP6
1.0
7.007 0.000 -0.001
-3.501 6.069 -0.001
-1.170 -2.025 6.663
Ca Tb Np P
3 2 1 6
Cartesian
-2.302 4.026 3.331
4.637 0.018 3.331
1.168 2.022 3.331
0.006 4.044 -0.001
3.499 2.026 -0.001
0.000 0.000 0.000
3.445 2.127 5.131
2.404 4.162 1.513
-1.110 1.918 1.531
0.120 4.047 5.131
-0.068 -0.118 5.149
2.215 -0.003 1.531
```

Properties
SG: C2/m (12)
E_tot (eV per atom): -6.258
ΔE_f (eV/f.u.): -14.4